1.
! TcMo2CN (PBE, relaxed); values from VASP
&SYSTEM
  ibrav = 0, nat = 5, ntyp = 4
/
ATOMIC_SPECIES
Tc 98.00 Tc.upf
Mo 95.94 Mo.upf
C 12.01 C.upf
N 14.01 N.upf
ATOMIC_POSITIONS angstrom
Tc 0.0000 0.0000 0.0000
Mo 0.0000 2.0484 1.9868
Mo 2.0484 0.0000 1.9868
C 0.0000 0.0000 1.9868
N 2.0484 2.0484 0.0000
CELL_PARAMETERS angstrom
4.0969 0.0000 0.0000
0.0000 4.0969 0.0000
0.0000 0.0000 3.9735
! Uncorrected formation energy in eV/atom: 1.178
! Symmetry: P4/mmm, No. 123
! E in Ry per atom: -0.6422

2.
! Te2MoCN (PBE, relaxed); values from VASP
&SYSTEM
  ibrav = 0, nat = 5, ntyp = 4
/
ATOMIC_SPECIES
Te 127.60 Te.upf
Mo 95.94 Mo.upf
C 12.01 C.upf
N 14.01 N.upf
ATOMIC_POSITIONS angstrom
Te 0.0000 2.6761 0.0000
Te 2.6761 0.0000 0.0000
Mo 0.0000 0.0000 0.0000
C 2.6761 2.6761 1.8905
N 0.0000 0.0000 1.8905
CELL_PARAMETERS angstrom
5.3522 0.0000 0.0000
0.0000 5.3522 0.0000
0.0000 0.0000 3.7811
! Uncorrected formation energy in eV/atom: 1.504
! Symmetry: P4/mmm, No. 123
! Excess energy over the best structure of this formula in the dataset in meV per atom: 180
! E in Ry per atom: -0.3990

3.
! Te2MoCN (PBE, relaxed); values from VASP
&SYSTEM
  ibrav = 0, nat = 5, ntyp = 4
/
ATOMIC_SPECIES
Te 127.60 Te.upf
Mo 95.94 Mo.upf
C 12.01 C.upf
N 14.01 N.upf
ATOMIC_POSITIONS angstrom
Te 0.0000 3.0264 0.0000
Te 3.0264 0.0000 0.0000
Mo 0.0000 0.0000 1.3115
C 3.0264 3.0264 0.0000
N 3.0264 3.0264 1.3115
CELL_PARAMETERS angstrom
6.0527 0.0000 0.0000
0.0000 6.0527 0.0000
0.0000 0.0000 2.6231
! Uncorrected formation energy in eV/atom: 1.324
! Symmetry: P4/mmm, No. 123
! Excess energy over the best structure of this formula in the dataset in meV per atom: 0
! E in Ry per atom: -0.4122

4.
! TiMo2CN (PBE, relaxed); values from VASP
&SYSTEM
  ibrav = 0, nat = 5, ntyp = 4
/
ATOMIC_SPECIES
Ti 47.87 Ti.upf
Mo 95.94 Mo.upf
C 12.01 C.upf
N 14.01 N.upf
ATOMIC_POSITIONS angstrom
Ti 0.0000 0.0000 0.0000
Mo 0.0000 1.9640 2.1997
Mo 1.9640 0.0000 2.1997
C 1.9640 1.9640 0.0000
N 1.9640 1.9640 2.1997
CELL_PARAMETERS angstrom
3.9280 0.0000 0.0000
0.0000 3.9280 0.0000
0.0000 0.0000 4.3994
! Uncorrected formation energy in eV/atom: 0.895
! Symmetry: P4/mmm, No. 123
! E in Ry per atom: -0.6266

5.
! Na3MoC (PBE, relaxed); values from VASP
&SYSTEM
  ibrav = 0, nat = 5, ntyp = 3
/
ATOMIC_SPECIES
Na 22.99 Na.upf
Mo 95.94 Mo.upf
C 12.01 C.upf
ATOMIC_POSITIONS angstrom
Na 0.0000 0.0000 3.0078
Na 0.0000 3.0078 0.0000
Na 3.0078 0.0000 0.0000
Mo 0.0000 0.0000 0.0000
C 3.0078 3.0078 3.0078
CELL_PARAMETERS angstrom
6.0157 0.0000 0.0000
0.0000 6.0157 0.0000
0.0000 0.0000 6.0157
! Symmetry: Pm-3m, No. 221
! Excess energy over the best structure of this formula in the dataset in meV per atom: 736
! E in Ry per atom: -0.1744
! Formation energy in meV/atom: 2429.8

6.
! NaMo3C (PBE, relaxed); values from VASP
&SYSTEM
  ibrav = 0, nat = 5, ntyp = 3
/
ATOMIC_SPECIES
Na 22.99 Na.upf
Mo 95.94 Mo.upf
C 12.01 C.upf
ATOMIC_POSITIONS angstrom
Na 0.0000 0.0000 0.0000
Mo 0.0000 2.1112 2.1112
Mo 2.1112 0.0000 2.1112
Mo 2.1112 2.1112 0.0000
C 2.1112 2.1112 2.1112
CELL_PARAMETERS angstrom
4.2225 0.0000 0.0000
0.0000 4.2225 0.0000
0.0000 0.0000 4.2225
! Symmetry: Pm-3m, No. 221
! Excess energy over the best structure of this formula in the dataset in meV per atom: 0
! E in Ry per atom: -0.5848
! Formation energy in meV/atom: 650.9